(1)
The following is a DFT calculation (PBE) of SrReGe3 after structural relaxation.

Properties
* calculated formation energy: 12.322 eV/f.u.
* relative energy among the computed polymorphs: 2434 meV per atom
* uncorrected energy: -3.1320 eV/atom

```
SrReGe3
1.0
5.233 0.000 0.000
0.000 5.233 0.000
0.000 0.000 5.233
Ge Sr Re
3 1 1
direct
0.500 0.000 0.000 Ge
0.000 0.500 0.000 Ge
0.000 0.000 0.500 Ge
0.000 0.000 0.000 Sr
0.500 0.500 0.500 Re
```



(2)
The following is a DFT calculation (PBE) of La6AlIn5 after structural relaxation.

Properties
* calculated formation energy: -5.800 eV/f.u.
* uncorrected energy: -4.4000 eV/atom

```
La6AlIn5
1.0
5.354 -0.007 -1.502
-4.015 7.779 -4.039
-0.207 -1.135 9.571
In La Al
5 6 1
direct
0.000 0.666 0.334 In
0.500 0.500 0.500 In
0.500 0.829 0.171 In
0.000 0.334 0.666 In
0.500 0.171 0.829 In
0.246 0.409 0.082 La
0.258 0.758 0.758 La
0.246 0.082 0.409 La
0.754 0.918 0.591 La
0.754 0.591 0.918 La
0.742 0.242 0.242 La
0.000 0.000 0.000 Al
```



(3)
The following is a DFT calculation (PBE) of TbNdTe2S after structural relaxation.

Properties
* formation energy from raw total energies: -7.478 eV/f.u.
* uncorrected energy: -5.4575 eV/atom

```
TbNdTe2S
1.0
-1.196 1.889 -3.861
2.386 -3.042 -2.227
-12.647 -9.414 -0.687
S Nd Te Tb
2 2 4 2
direct
0.000 0.000 0.500 S
0.500 0.500 0.500 S
0.000 0.500 0.395 Nd
0.500 0.000 0.605 Nd
0.500 0.000 0.297 Te
0.500 0.000 0.907 Te
0.000 0.500 0.703 Te
0.000 0.500 0.093 Te
0.500 0.000 0.112 Tb
0.000 0.500 0.888 Tb
```



(4)
The following is a DFT calculation (PBE) of Ce2LuO after structural relaxation.

Properties
* formation energy from raw total energies: -4.469 eV/f.u.
* uncorrected energy: -6.4539 eV/atom

```
Ce2LuO
1.0
3.381 0.000 0.000
1.690 2.928 0.000
1.690 0.976 9.400
Ce Lu O
2 1 1
direct
0.114 0.114 0.659 Ce
0.886 0.886 0.341 Ce
0.000 0.000 0.000 Lu
0.500 0.500 0.500 O
```